# PBE Cs2UHg2I4, relaxed
# Total energy, eV per atom: -2.9905
# Energy relative to the elements, uncorrected, eV/atom: -0.7906
# Density of states at the Fermi level, states/eV per cell: 8.89
data_Cs2UHg2I4
_cell_length_a 9.398
_cell_length_b 9.398
_cell_length_c 9.600
_cell_angle_alpha 90.00
_cell_angle_beta 90.00
_cell_angle_gamma 90.00
_symmetry_space_group_name_H-M 'I 4/m m m'
_symmetry_Int_Tables_number 139
_symmetry_space_group_name_Hall '-I 4 2'
loop_
_atom_site_label
_atom_site_fract_x
_atom_site_fract_y
_atom_site_fract_z
Cs1 0.000 0.500 0.250
U1 0.000 0.000 0.000
Hg1 0.000 0.000 0.342
I1 0.235 0.235 0.000